1.
The following is a DFT calculation (PBE) of Tb2CeHo2 after structural relaxation.

Results
Offset from the most stable computed form in eV per atom: 0.662
SG: I4/mmm

Cell: 12.5735 12.5735 12.5735 Å, 161.16 161.16 26.77°
Positions (direct):
Tb 0.2500 0.7500 0.5000
Tb 0.7500 0.2500 0.5000
Ce 0.0000 0.0000 0.0000
Ho 0.1334 0.1334 0.0000
Ho 0.8666 0.8666 0.0000

***

2.
The following is a DFT calculation (PBE) of Li2SmPt after structural relaxation.

Results
Offset from the most stable computed form in eV per atom: 0.000
SG: Pmmn

Cell: 4.6241 5.4842 6.2881 Å, 90.00 90.00 90.00°
Positions (direct):
Li 0.2500 0.0087 0.0975
Li 0.2500 0.4913 0.0975
Li 0.7500 0.5087 0.9025
Li 0.7500 0.9913 0.9025
Sm 0.2500 0.2500 0.5646
Sm 0.7500 0.7500 0.4354
Pt 0.2500 0.7500 0.7341
Pt 0.7500 0.2500 0.2659

***

3.
The following is a DFT calculation (PBE) of ErScInPb after structural relaxation.

Results
Energy in eV per cell: -18.66
SG: F-43m

Cell: 5.2441 5.2441 5.2441 Å, 60.00 60.00 60.00°
Positions (direct):
Er 0.0000 0.0000 0.0000
Sc 0.5000 0.5000 0.5000
In 0.7500 0.7500 0.7500
Pb 0.2500 0.2500 0.2500

***

4.
The following is a DFT calculation (PBE) of NbO2F after structural relaxation.

Results
Energy relative to the elements, uncorrected in eV/atom: -1.76
SG: Fm-3m

Cell: 3.6751 3.6751 3.6751 Å, 60.00 60.00 60.00°
Positions (direct):
Nb 0.0000 0.0000 0.0000
O 0.2500 0.2500 0.2500
O 0.7500 0.7500 0.7500
F 0.5000 0.5000 0.5000